DFT (GGA-PBE) results for a relaxed SrCe3Pr2Se6 crystal.

abc: 9.5544 9.5544 8.5738
angles: 103.38 103.38 25.66
Element x y z (fractional)
Sr (0.0000, 0.0000, 0.0000)
Ce (0.0000, 0.0000, 0.5000)
Ce (0.3329, 0.3329, 0.1693)
Ce (0.6671, 0.6671, 0.8307)
Pr (0.3301, 0.3301, 0.6608)
Pr (0.6699, 0.6699, 0.3392)
Se (0.1642, 0.1642, 0.5856)
Se (0.1681, 0.1681, 0.0814)
Se (0.5003, 0.5003, 0.2552)
Se (0.4997, 0.4997, 0.7448)
Se (0.8319, 0.8319, 0.9186)
Se (0.8358, 0.8358, 0.4144)

Total magnetic moment in μB per atom: 0.2850
Electronic total energy in eV per atom: -6.01
Raw formation energy in eV/atom: -1.847